SrCa3Pt | PBE | optimized geometry

Cell lengths 14.278, 9.844, 9.844 Å; angles 85.27, 125.10, 54.90 degrees
Element x y z (fractional)
1 Ca 0.456 0.228 0.416
2 Ca 0.044 0.916 0.728
3 Ca 0.948 0.220 0.901
4 Ca 0.166 0.537 0.612
5 Ca 0.552 0.401 0.720
6 Ca 0.052 0.780 0.099
7 Ca 0.956 0.084 0.272
8 Ca 0.666 0.888 0.963
9 Ca 0.834 0.463 0.388
10 Ca 0.448 0.599 0.280
11 Ca 0.334 0.112 0.037
12 Ca 0.544 0.772 0.584
13 Sr 0.611 0.207 0.198
14 Sr 0.889 0.698 0.707
15 Sr 0.389 0.793 0.802
16 Sr 0.111 0.302 0.293
17 Pt 0.750 0.146 0.646
18 Pt 0.750 0.515 0.015
19 Pt 0.250 0.485 0.985
20 Pt 0.250 0.854 0.354

Computed properties:
VASP energy   -63.656 eV/cell
Energy above the most stable polymorph in this dataset   0.045 eV/atom
ΔH_f (0 K)   -2.19 eV per formula unit

***

Sr3CaPt | PBE | optimized geometry

Cell lengths 6.002, 6.002, 6.002 Å; angles 90.00, 90.00, 90.00 degrees
Element x y z (fractional)
1 Ca 0.500 0.500 0.500
2 Sr 0.000 0.000 0.500
3 Sr 0.500 0.000 0.000
4 Sr 0.000 0.500 0.000
5 Pt 0.000 0.000 0.000

Computed properties:
VASP energy   -15.141 eV/cell
Energy above the most stable polymorph in this dataset   0.036 eV/atom
ΔH_f (0 K)   -2.05 eV per formula unit

***

SrCa2Pt | PBE | optimized geometry

Cell lengths 3.710, 3.713, 10.400 Å; angles 68.90, 90.00, 90.00 degrees
Element x y z (fractional)
1 Pt 0.000 0.515 0.484
2 Sr 0.500 0.824 0.674
3 Ca 0.000 0.985 0.016
4 Ca 0.500 0.175 0.326

Computed properties:
VASP energy   -13.532 eV/cell
Energy above the most stable polymorph in this dataset   0.144 eV/atom
ΔH_f (0 K)   -1.81 eV per formula unit

***

SrCa2Pt2 | PBE | optimized geometry

Cell lengths 8.458, 8.458, 3.471 Å; angles 90.00, 90.00, 90.00 degrees
Element x y z (fractional)
1 Ca 0.630 0.130 0.000
2 Ca 0.370 0.870 0.000
3 Ca 0.130 0.370 0.000
4 Ca 0.870 0.630 0.000
5 Sr 0.000 0.000 0.000
6 Sr 0.500 0.500 0.000
7 Pt 0.832 0.332 0.500
8 Pt 0.668 0.832 0.500
9 Pt 0.332 0.168 0.500
10 Pt 0.168 0.668 0.500

Computed properties:
VASP energy   -41.759 eV/cell
Energy above the most stable polymorph in this dataset   0.155 eV/atom
ΔH_f (0 K)   -3.11 eV per formula unit

***

Sr2CaPt | PBE | optimized geometry

Cell lengths 6.458, 6.458, 6.458 Å; angles 136.11, 136.11, 63.80 degrees
Element x y z (fractional)
1 Pt 0.750 0.250 0.500
2 Sr 0.250 0.750 0.500
3 Sr 0.000 0.000 0.000
4 Ca 0.500 0.500 0.000

Computed properties:
VASP energy   -11.960 eV/cell
Energy above the most stable polymorph in this dataset   0.423 eV/atom
ΔH_f (0 K)   -0.55 eV per formula unit

***

SrCa4Pt | PBE | optimized geometry

Cell lengths 6.740, 7.190, 10.279 Å; angles 90.00, 80.90, 90.00 degrees
Element x y z (fractional)
1 Ca 0.623 0.644 0.603
2 Ca 0.877 0.144 0.397
3 Ca 0.568 0.105 0.752
4 Ca 0.377 0.356 0.397
5 Ca 0.068 0.395 0.752
6 Ca 0.432 0.895 0.248
7 Ca 0.932 0.605 0.248
8 Ca 0.123 0.856 0.603
9 Sr 0.500 0.500 0.000
10 Sr 0.000 0.000 0.000
11 Pt 0.500 0.000 0.500
12 Pt 0.000 0.500 0.500

Computed properties:
VASP energy   -35.068 eV/cell
Energy above the most stable polymorph in this dataset   0.000 eV/atom
ΔH_f (0 K)   -1.81 eV per formula unit